Record 1
Computed, not measured: a geometry-optimized Y8Co2Ru structure at the GGA-PBE level of DFT.

Computed properties:
The formation energy from the elements comes out at -0.082 eV/atom.

Cell and atoms, written as CIF:
```
data_Y8Co2Ru
_chemical_formula_sum 'Y8 Co2 Ru1'
_cell_length_a 5.8836
_cell_length_b 7.4404
_cell_length_c 7.4404
_cell_angle_alpha 113.42
_cell_angle_beta 99.90
_cell_angle_gamma 99.90
_space_group_name_H-M_alt 'P 1'
_space_group_IT_number 1
loop_
_space_group_symop_operation_xyz
'x,y,z'
loop_
_atom_site_label
_atom_site_type_symbol
_atom_site_fract_x
_atom_site_fract_y
_atom_site_fract_z
Y1 Y 0.1786 0.3636 0.3636
Y2 Y 0.8079 0.6423 0.6423
Y3 Y 0.9906 0.7859 0.2160
Y4 Y 0.3905 0.9275 0.6676
Y5 Y 0.3905 0.6676 0.9275
Y6 Y 0.5821 0.3393 0.0791
Y7 Y 0.5821 0.0791 0.3393
Y8 Y 0.9906 0.2160 0.7859
Co1 Co 0.4944 0.6970 0.3148
Co2 Co 0.4944 0.3148 0.6970
Ru1 Ru 0.0981 0.0010 0.0010
```

Record 2
Computed, not measured: a geometry-optimized Y2Co2Ru structure at the GGA-PBE level of DFT.

Computed properties:
The formation energy from the elements comes out at -0.210 eV/atom.

Cell and atoms, written as CIF:
```
data_Y2Co2Ru
_chemical_formula_sum 'Y4 Co4 Ru2'
_cell_length_a 5.2697
_cell_length_b 5.2697
_cell_length_c 7.6781
_cell_angle_alpha 79.20
_cell_angle_beta 79.20
_cell_angle_gamma 62.15
_space_group_name_H-M_alt 'P 1'
_space_group_IT_number 1
loop_
_space_group_symop_operation_xyz
'x,y,z'
loop_
_atom_site_label
_atom_site_type_symbol
_atom_site_fract_x
_atom_site_fract_y
_atom_site_fract_z
Co1 Co 0.7335 0.9985 0.5008
Co2 Co 0.2665 0.0015 0.4992
Co3 Co 0.9985 0.7335 0.0008
Co4 Co 0.0015 0.2665 0.9992
Y1 Y 0.5227 0.7776 0.8479
Y2 Y 0.4773 0.2224 0.1521
Y3 Y 0.2224 0.4773 0.6521
Y4 Y 0.7776 0.5227 0.3479
Ru1 Ru 0.1278 0.8722 0.2500
Ru2 Ru 0.8722 0.1278 0.7500
```

Record 3
Computed, not measured: a geometry-optimized Y4Co3Ru structure at the GGA-PBE level of DFT.

Computed properties:
The formation energy from the elements comes out at -0.213 eV/atom.

Cell and atoms, written as CIF:
```
data_Y4Co3Ru
_chemical_formula_sum 'Y4 Co3 Ru1'
_cell_length_a 4.1403
_cell_length_b 3.9605
_cell_length_c 10.2289
_cell_angle_alpha 90.00
_cell_angle_beta 90.00
_cell_angle_gamma 90.00
_space_group_name_H-M_alt 'P 1'
_space_group_IT_number 1
loop_
_space_group_symop_operation_xyz
'x,y,z'
loop_
_atom_site_label
_atom_site_type_symbol
_atom_site_fract_x
_atom_site_fract_y
_atom_site_fract_z
Co1 Co 0.0000 0.0000 0.4511
Co2 Co 0.5000 0.0000 0.9348
Co3 Co 0.0000 0.5000 0.5540
Y1 Y 0.0000 0.0000 0.1467
Y2 Y 0.5000 0.5000 0.3576
Y3 Y 0.0000 0.5000 0.8529
Y4 Y 0.5000 0.0000 0.6451
Ru1 Ru 0.5000 0.5000 0.0579
```

Record 4
Computed, not measured: a geometry-optimized YCoRu structure at the GGA-PBE level of DFT.

Computed properties:
The formation energy from the elements comes out at -0.246 eV/atom. Its energy above the most stable polymorph in this dataset is 0.0 kJ/mol of atoms.

Cell and atoms, written as CIF:
```
data_YCoRu
_chemical_formula_sum 'Y2 Co2 Ru2'
_cell_length_a 5.2296
_cell_length_b 5.2296
_cell_length_c 5.2296
_cell_angle_alpha 89.04
_cell_angle_beta 120.58
_cell_angle_gamma 120.54
_space_group_name_H-M_alt 'P 1'
_space_group_IT_number 1
loop_
_space_group_symop_operation_xyz
'x,y,z'
loop_
_atom_site_label
_atom_site_type_symbol
_atom_site_fract_x
_atom_site_fract_y
_atom_site_fract_z
Ru1 Ru 0.5000 0.5000 0.5000
Ru2 Ru 0.0000 0.5000 0.0000
Y1 Y 0.7500 0.8739 0.1239
Y2 Y 0.2500 0.1261 0.8761
Co1 Co 0.5000 0.0000 0.5000
Co2 Co 0.0000 0.5000 0.5000
```

Record 5
Computed, not measured: a geometry-optimized YCo2Ru structure at the GGA-PBE level of DFT.

Computed properties:
The formation energy from the elements comes out at 0.215 eV/atom. Its energy above the most stable polymorph in this dataset is 25.6 kJ/mol of atoms.

Cell and atoms, written as CIF:
```
data_YCo2Ru
_chemical_formula_sum 'Y1 Co2 Ru1'
_cell_length_a 3.3435
_cell_length_b 4.3573
_cell_length_c 4.2816
_cell_angle_alpha 90.00
_cell_angle_beta 90.00
_cell_angle_gamma 90.00
_space_group_name_H-M_alt 'P 1'
_space_group_IT_number 1
loop_
_space_group_symop_operation_xyz
'x,y,z'
loop_
_atom_site_label
_atom_site_type_symbol
_atom_site_fract_x
_atom_site_fract_y
_atom_site_fract_z
Ru1 Ru 0.5000 0.0000 0.5000
Co1 Co 0.0000 0.0000 0.0000
Co2 Co 0.5000 0.5000 0.0000
Y1 Y 0.0000 0.5000 0.5000
```

Record 6
Computed, not measured: a geometry-optimized Y2CoRu2 structure at the GGA-PBE level of DFT.

Computed properties:
The formation energy from the elements comes out at -0.108 eV/atom.

Cell and atoms, written as CIF:
```
data_Y2CoRu2
_chemical_formula_sum 'Y4 Co2 Ru4'
_cell_length_a 6.6029
_cell_length_b 6.6029
_cell_length_c 4.4087
_cell_angle_alpha 90.00
_cell_angle_beta 90.00
_cell_angle_gamma 90.00
_space_group_name_H-M_alt 'P 1'
_space_group_IT_number 1
loop_
_space_group_symop_operation_xyz
'x,y,z'
loop_
_atom_site_label
_atom_site_type_symbol
_atom_site_fract_x
_atom_site_fract_y
_atom_site_fract_z
Co1 Co 0.5000 0.5000 0.0000
Co2 Co 0.0000 0.0000 0.0000
Ru1 Ru 0.3644 0.8644 0.0000
Ru2 Ru 0.6356 0.1356 0.0000
Ru3 Ru 0.8644 0.6356 0.0000
Ru4 Ru 0.1356 0.3644 0.0000
Y1 Y 0.8211 0.3211 0.5000
Y2 Y 0.1789 0.6789 0.5000
Y3 Y 0.3211 0.1789 0.5000
Y4 Y 0.6789 0.8211 0.5000
```

Number 1: M_tot 0.00 μB per formula unit, DFT total energy -6.9186 eV/atom, calculated volume 284 Å³ per cell. Number 2: M_tot 2.38 μB per formula unit, DFT total energy -7.4934 eV/atom, calculated volume 184 Å³ per cell. Number 3: M_tot 1.47 μB per formula unit, DFT total energy -7.2695 eV/atom, calculated volume 168 Å³ per cell. Number 4: M_tot 0.90 μB per formula unit, DFT total energy -7.8608 eV/atom, calculated volume 100 Å³ per cell. Number 5: M_tot 3.67 μB per formula unit, DFT total energy -7.2734 eV/atom, calculated volume 62 Å³ per cell. Number 6: M_tot 1.58 μB per formula unit, DFT total energy -7.8252 eV/atom, calculated volume 192 Å³ per cell.